Entry from the Alexandria database: a geometry-optimized Sm2MnZnC structure (PBE). Values from VASP.

```
&SYSTEM
  ibrav = 0, nat = 5, ntyp = 4
/
ATOMIC_SPECIES
Sm 150.36 Sm.upf
Mn 54.94 Mn.upf
Zn 65.41 Zn.upf
C 12.01 C.upf
ATOMIC_POSITIONS crystal
Sm 0.000 0.500 0.000
Sm 0.500 0.000 0.000
Mn 0.000 0.000 0.500
Zn 0.500 0.500 0.500
C 0.000 0.000 0.000
CELL_PARAMETERS angstrom
5.140 0.000 0.000
0.000 5.140 0.000
0.000 0.000 3.764
```

Computed properties:
Energy of formation from the pure elements (kJ/mol of formula units): -99
Symmetry: P4/mmm (123)
Electronic total energy (eV per atom): -6.03

Entry from the Alexandria database: a geometry-optimized InFeBiAs2 structure (PBE). Values from VASP.

```
&SYSTEM
  ibrav = 0, nat = 5, ntyp = 4
/
ATOMIC_SPECIES
In 114.82 In.upf
Fe 55.84 Fe.upf
Bi 208.98 Bi.upf
As 74.92 As.upf
ATOMIC_POSITIONS crystal
In 0.000 0.000 0.000
Fe 0.500 0.500 0.000
Bi 0.000 0.000 0.500
As 0.000 0.500 0.500
As 0.500 0.000 0.500
CELL_PARAMETERS angstrom
5.443 0.000 0.000
0.000 5.443 0.000
0.000 0.000 5.821
```

Computed properties:
Energy of formation from the pure elements (kJ/mol of formula units): 681
Symmetry: P4/mmm (123)
Electronic total energy (eV per atom): -3.46

Entry from the Alexandria database: a geometry-optimized Cu5Tc4 structure (PBE). Values from VASP.

```
&SYSTEM
  ibrav = 0, nat = 9, ntyp = 2
/
ATOMIC_SPECIES
Cu 63.55 Cu.upf
Tc 98.00 Tc.upf
ATOMIC_POSITIONS crystal
Cu 0.000 0.000 0.000
Cu 0.336 0.336 0.671
Cu 0.336 0.664 0.000
Cu 0.664 0.336 0.000
Cu 0.664 0.664 0.329
Tc 0.000 0.337 0.337
Tc 0.000 0.663 0.663
Tc 0.337 0.000 0.337
Tc 0.663 0.000 0.663
CELL_PARAMETERS angstrom
-3.971 3.971 1.911
3.971 -3.971 1.911
3.971 3.971 -1.911
```

Computed properties:
Energy of formation from the pure elements (kJ/mol of formula units): 232
Symmetry: I4/mmm (139)
Electronic total energy (eV per atom): -6.62